Entry from Alexandria: RbTmCr2O8 after structural relaxation (PBE with a Hubbard U).

The density of states at the Fermi level comes out at 0.0 states/eV/cell. As for the theoretical density: 3.5 g/cm3. The value obtained for the raw total energy is -83.134 eV/cell.

It has space group P-3 (No. 147), with a = 5.7556 Å, b = 5.7556 Å, c = 8.0040 Å, α = 90.00°, β = 90.00° and γ = 120.00°. The distinct sites, in fractional coordinates, are Rb at (0.0000, 0.0000, 0.0000), Tm at (0.0000, 0.0000, 0.5000), Cr at (0.3333, 0.6667, 0.7390), O at (0.1727, 0.3483, 0.6708) and O at (0.3333, 0.6667, 0.9416).